9
Lattice="-5.3178 5.3178 2.5176 5.3178 -5.3178 2.5176 5.3178 5.3178 -2.5176" Properties=species:S:1:pos:R:3 comment="CeY4Ho4 | Alexandria via LeMat-Bulk | PBE-GGA | optimized geometry" formation_energy_ev_per_atom=0.047 space_group="I4/mmm (139)" final_energy_ev_per_atom=-5.520 pbc="T T T"
Ce 0.0000 0.0000 0.0000
Y 3.5573 3.5573 0.0000
Y 1.7605 -1.7605 2.5176
Y -1.7605 1.7605 2.5176
Y 1.7605 1.7605 2.5176
Ho 3.5520 0.0000 0.0000
Ho 7.0837 0.0000 0.0000
Ho 0.0000 3.5520 0.0000
Ho 0.0000 7.0837 0.0000